1.
Density functional theory data (PBE) for crystalline GdHoMgCr at its relaxed geometry.

Crystal system: cubic
E_tot (eV/atom): -7.34
Formation energy from the elements (kJ/mol of atoms): 12.7

a b c (Å): 7.354 7.354 7.354
angles (deg): 90.00 90.00 90.00
Space group F-43m (No. 216)
One atom of each set of equivalent atoms:
Gd (0.000, 0.000, 0.000)
Ho (0.000, 0.000, 0.500)
Mg (0.250, 0.250, 0.250)
Cr (0.250, 0.250, 0.750)

---

2.
Density functional theory data (PBE) for crystalline Mn3OsS at its relaxed geometry.

Crystal system: cubic
Uncorrected formation energy (eV/atom): 1.221
Energy relative to the lowest polymorph listed for this composition (eV per atom): 0.549
E_tot (eV/atom): -7.35

a b c (Å): 4.717 4.717 4.717
angles (deg): 90.00 90.00 90.00
Space group Pm-3m (No. 221)
One atom of each set of equivalent atoms:
Mn (0.000, 0.000, 0.500)
Os (0.000, 0.000, 0.000)
S (0.500, 0.500, 0.500)

---

3.
Density functional theory data (PBE) for crystalline SrBeCuAu6 at its relaxed geometry.

Crystal system: orthorhombic
E_tot (eV/atom): -3.36
Formation energy from the elements (kJ/mol of atoms): -11.2

a b c (Å): 7.472 8.666 12.099
angles (deg): 90.00 90.00 90.00
Space group Imma (No. 74)
One atom of each set of equivalent atoms:
Sr (0.000, 0.250, 0.159)
Be (0.000, 0.000, 0.500)
Cu (0.250, 0.250, 0.750)
Au (0.000, 0.250, 0.422)
Au (0.000, 0.250, 0.891)
Au (0.220, 0.017, 0.627)

---

4.
Density functional theory data (PBE) for crystalline Zr4BeSn at its relaxed geometry.

Crystal system: tetragonal
E_tot (eV/atom): -7.21
Formation energy from the elements (kJ/mol of atoms): -21.3

a b c (Å): 6.650 6.650 5.660
angles (deg): 90.00 90.00 90.00
Space group P4/mcc (No. 124)
One atom of each set of equivalent atoms:
Zr (0.138, 0.325, 0.000)
Be (0.000, 0.000, 0.250)
Sn (0.500, 0.500, 0.250)

---

5.
Density functional theory data (PBE) for crystalline KSc2Sb at its relaxed geometry.

Crystal system: tetragonal
Uncorrected formation energy (eV/atom): -0.198
E_tot (eV/atom): -4.67

a b c (Å): 3.865 3.865 8.534
angles (deg): 90.00 90.00 90.00
Space group P4mm (No. 99)
One atom of each set of equivalent atoms:
K (0.000, 0.000, 0.000)
Sc (0.000, 0.000, 0.432)
Sc (0.500, 0.500, 0.633)
Sb (0.500, 0.500, 0.292)

---

6.
Density functional theory data (PBE) for crystalline Sr6LiAg3 at its relaxed geometry.

Crystal system: monoclinic
E_tot (eV/atom): -2.20
Formation energy from the elements (kJ/mol of atoms): -14.0

a b c (Å): 12.290 4.641 14.566
angles (deg): 90.00 111.40 90.00
Space group P2_1/m (No. 11)
One atom of each set of equivalent atoms:
Sr (0.020, 0.250, 0.389)
Sr (0.064, 0.250, 0.903)
Sr (0.243, 0.750, 0.325)
Sr (0.334, 0.750, 0.799)
Sr (0.335, 0.750, 0.089)
Sr (0.391, 0.250, 0.569)
Li (0.412, 0.250, 0.278)
Ag (0.161, 0.250, 0.154)
Ag (0.196, 0.750, 0.536)
Ag (0.424, 0.250, 0.973)